DFT (GGA-PBE) results for an optimized crystal structure of TbPm4Dy5.

The symmetry is I4mm, No. 107. The calculation puts the polymorph energy (0 for the lowest one) at 57.2 meV per atom. The value obtained for the total energy is -44.2 eV per formula unit. The calculation puts the calculated formation energy at 2.4 eV/f.u.

```
TbPm4Dy5
1.0
-5.3246 5.3246 2.9848
5.3246 -5.3246 2.9848
5.3246 5.3246 -2.9848
Tb Pm Dy
1 4 5
direct
0.0000 0.0000 0.0000 Tb
0.0841 0.7602 0.3239 Pm
0.4362 0.7602 0.6761 Pm
0.7602 0.0841 0.3239 Pm
0.7602 0.4362 0.6761 Pm
0.0749 0.0749 0.6223 Dy
0.0749 0.4526 0.0000 Dy
0.4526 0.0749 0.0000 Dy
0.4526 0.4526 0.3777 Dy
0.5265 0.5265 0.0000 Dy
```